No. 1
# Pr5Nd3Pb2, optimized geometry, DFT GGA-PBE
# Spin magnetization   0.00 μB per formula unit
# DOS at the Fermi energy   14.070 states/eV/f.u.
# Formation energy   0.0001 eV/atom
# VASP energy   -4.56 eV per atom
# Calculated volume   1416.6 Å³ per cell
data_Pr5Nd3Pb2
_chemical_formula_sum 'Pr20 Nd12 Pb8'
_cell_length_a 13.228
_cell_length_b 16.008
_cell_length_c 6.690
_cell_angle_alpha 90.00
_cell_angle_beta 90.00
_cell_angle_gamma 90.00
_symmetry_space_group_name_H-M 'I b a m'
_symmetry_Int_Tables_number 72
_symmetry_space_group_name_Hall '-I 2 2c'
loop_
_atom_site_label
_atom_site_type_symbol
_atom_site_fract_x
_atom_site_fract_y
_atom_site_fract_z
Pr1 Pr 0.000 0.000 0.250
Pr2 Pr 0.091 0.162 0.000
Pr3 Pr 0.249 0.000 0.250
Nd1 Nd 0.000 0.500 0.250
Nd2 Nd 0.129 0.282 0.500
Pb1 Pb 0.134 0.351 0.000


No. 2
# Pr4NdPb, optimized geometry, DFT GGA-PBE
# Spin magnetization   0.12 μB per formula unit
# DOS at the Fermi energy   10.423 states/eV/f.u.
# Formation energy   0.3140 eV/atom
# VASP energy   -4.29 eV per atom
# Calculated volume   988.7 Å³ per cell
data_Pr4NdPb
_chemical_formula_sum 'Pr16 Nd4 Pb4'
_cell_length_a 11.913
_cell_length_b 11.913
_cell_length_c 6.967
_cell_angle_alpha 90.00
_cell_angle_beta 90.00
_cell_angle_gamma 90.00
_symmetry_space_group_name_H-M 'I 41 m d'
_symmetry_Int_Tables_number 109
_symmetry_space_group_name_Hall 'I 4bw -2'
loop_
_atom_site_label
_atom_site_type_symbol
_atom_site_fract_x
_atom_site_fract_y
_atom_site_fract_z
Pr1 Pr 0.000 0.230 0.000
Pr2 Pr 0.000 0.239 0.492
Nd1 Nd 0.000 0.000 0.793
Pb1 Pb 0.000 0.000 0.286


No. 3
# PrNd2Pb2, optimized geometry, DFT GGA-PBE
# Spin magnetization   0.00 μB per formula unit
# DOS at the Fermi energy   4.772 states/eV/f.u.
# Formation energy   -0.1867 eV/atom
# VASP energy   -4.53 eV per atom
# Calculated volume   325.4 Å³ per cell
# E above lowest polymorph   0.151 eV/atom
data_PrNd2Pb2
_chemical_formula_sum 'Pr2 Nd4 Pb4'
_cell_length_a 5.2972
_cell_length_b 5.2972
_cell_length_c 13.3892
_cell_angle_alpha 90.00
_cell_angle_beta 90.00
_cell_angle_gamma 120.00
_symmetry_space_group_name_H-M 'P 63/m m c'
_symmetry_Int_Tables_number 194
_symmetry_space_group_name_Hall '-P 6c 2c'
loop_
_atom_site_label
_atom_site_type_symbol
_atom_site_fract_x
_atom_site_fract_y
_atom_site_fract_z
Pr1 Pr 0.0000 0.0000 0.2500
Nd1 Nd 0.0000 0.0000 0.0000
Nd2 Nd 0.3333 0.6667 0.2500
Pb1 Pb 0.3333 0.6667 0.6225


Q: What is the formation energy in the third record?
A: -0.1867 eV/atom


Q: Which of these has the highest calculated volume?
A: Pr5Nd3Pb2


Q: The highest VASP energy belongs to which entry?
A: Pr4NdPb